# 1
A relaxed structure of Tc2SbAs. Source: the Alexandria database, functional PBE.

Lattice parameters (Å, degrees): 7.015 7.015 7.015 153.69 152.65 38.32
Fractional coordinates of all 4 atoms:
Tc  0.000  0.000  0.000
Tc  0.784  0.284  0.500
Sb  0.172  0.672  0.500
As  0.425  0.425  0.000

Calculated values
- Electronic total energy: -7.328 eV/atom
- Polymorph energy (0 for the lowest one): 0.0415 eV per atom
- N(E_F): 2.7 states/eV/f.u.
- Crystal system: orthorhombic
- Raw formation energy: 0.048 eV/atom

# 2
A relaxed structure of Li2CaNpTe4. Source: the Alexandria database, functional PBE.

Lattice parameters (Å, degrees): 7.428 4.408 7.598 90.00 109.64 90.00
Fractional coordinates of all 8 atoms:
Li  0.000  0.000  0.000
Li  0.000  0.500  0.500
Ca  0.500  0.000  0.500
Np  0.500  0.500  0.000
Te  0.243  0.500  0.237
Te  0.244  0.000  0.757
Te  0.756  0.000  0.243
Te  0.757  0.500  0.763

Calculated values
- Electronic total energy: -4.900 eV/atom
- N(E_F): 9.9 states/eV/f.u.
- Crystal system: monoclinic
- Raw formation energy: -0.983 eV/atom